Density functional theory data (PBE) for Cr2HgRh after structural relaxation.

```
Cr2HgRh
1.0
7.185 0.000 0.000
0.000 7.185 0.000
3.592 3.592 2.797
Rh Cr Hg
2 4 2
direct
0.250 0.750 0.500
0.500 0.500 0.000
0.159 0.625 0.250
0.375 0.409 0.750
0.875 0.841 0.750
0.591 0.125 0.250
0.000 0.000 0.000
0.750 0.250 0.500
```

Results
Its space group is I-42d. Its formation energy from the elements is 0.71 eV per atom. Its total magnetization is 7.43 μB/f.u.


Density functional theory data (PBE) for CrHgRh3 after structural relaxation.

```
CrHgRh3
1.0
4.485 0.000 0.000
0.000 4.485 0.000
0.000 0.000 4.485
Rh Hg Cr
3 1 1
direct
0.000 0.000 0.500
0.000 0.500 0.000
0.500 0.000 0.000
0.500 0.500 0.500
0.000 0.000 0.000
```

Results
Its space group is Pm-3m. Its formation energy from the elements is 0.75 eV per atom. Its total magnetization is 0.00 μB/f.u. For the energy above the most stable polymorph in this dataset, the calculation gives 0.0 meV/atom.


Density functional theory data (PBE) for Cr2HgRh after structural relaxation.

```
Cr2HgRh
1.0
-3.395 -3.224 1.003
-0.851 -4.507 1.374
-0.405 0.565 4.732
Cr Hg Rh
2 1 1
direct
0.508 0.508 0.418
0.992 0.992 0.082
0.750 0.750 0.750
0.250 0.250 0.250
```

Results
Its space group is C2/m. Its formation energy from the elements is 0.38 eV per atom. Its total magnetization is 0.00 μB/f.u.


Please write out number 1 again, unchanged.
Density functional theory data (PBE) for Cr2HgRh after structural relaxation.

```
Cr2HgRh
1.0
7.185 0.000 0.000
0.000 7.185 0.000
3.592 3.592 2.797
Rh Cr Hg
2 4 2
direct
0.250 0.750 0.500
0.500 0.500 0.000
0.159 0.625 0.250
0.375 0.409 0.750
0.875 0.841 0.750
0.591 0.125 0.250
0.000 0.000 0.000
0.750 0.250 0.500
```

Results
Its space group is I-42d. Its formation energy from the elements is 0.71 eV per atom. Its total magnetization is 7.43 μB/f.u.